(1)
VASP calculation (GGA-PBEsol) on crystalline OsO4 at its relaxed geometry.

Calculated values
As for the symmetry: C2/c (15). The value obtained for the density of states at the Fermi level is 0.00 states/eV/cell. As for the uncorrected formation energy: -0.842 eV per atom. The total moment comes out at 0.0 μB per formula unit.

abc: 5.264 5.264 8.599
angles: 113.33 113.33 51.28
Positions (direct):
1 Os 0.248 0.752 0.750
2 Os 0.752 0.248 0.250
3 O 0.088 0.147 0.193
4 O 0.147 0.088 0.693
5 O 0.351 0.420 0.578
6 O 0.420 0.351 0.078
7 O 0.580 0.649 0.922
8 O 0.649 0.580 0.422
9 O 0.853 0.912 0.307
10 O 0.912 0.853 0.807

=====

(2)
VASP calculation (GGA-PBEsol) on crystalline Mg2InSb at its relaxed geometry.

Calculated values
As for the symmetry: Immm (71). The value obtained for the density of states at the Fermi level is 1.33 states/eV/cell. As for the uncorrected formation energy: -0.157 eV per atom. As for the energy above the most stable polymorph in this dataset: 0.014 eV per atom. The total moment comes out at 0.0 μB per formula unit.

abc: 5.405 5.405 5.405
angles: 130.16 127.17 75.58
Positions (direct):
1 Mg 0.249 0.249 0.000
2 Mg 0.751 0.751 0.000
3 In 0.500 0.000 0.500
4 Sb 0.000 0.500 0.500